1.
# In2Si

Crystalline In2Si at its relaxed geometry (PBE, the Alexandria database).

```
data_In2Si
_symmetry_space_group_name_H-M 'P 63/m m c'
_symmetry_Int_Tables_number 194
_symmetry_space_group_name_Hall '-P 6c 2c'
_cell_length_a 4.9503
_cell_length_b 4.9503
_cell_length_c 6.5982
_cell_angle_alpha 90.00
_cell_angle_beta 90.00
_cell_angle_gamma 120.00
loop_
_atom_site_label
_atom_site_type_symbol
_atom_site_fract_x
_atom_site_fract_y
_atom_site_fract_z
_atom_site_occupancy
In1 In 0.0000 0.0000 0.0000 1
In2 In 0.3333 0.6667 0.2500 1
Si1 Si 0.3333 0.6667 0.7500 1
```

Uncorrected formation energy   0.327 eV per atom
Volume   23.34 Å³ per atom
DFT total energy   -19.8 eV/cell
Offset from the most stable computed form   152 meV/atom
Magnetic moment   0.000 μB/f.u.



2.
# InSi

Crystalline InSi at its relaxed geometry (PBE, the Alexandria database).

```
data_InSi
_symmetry_space_group_name_H-M 'P -3 m 1'
_symmetry_Int_Tables_number 164
_symmetry_space_group_name_Hall '-P 3 2"'
_cell_length_a 5.1400
_cell_length_b 5.1400
_cell_length_c 11.2352
_cell_angle_alpha 90.00
_cell_angle_beta 90.00
_cell_angle_gamma 120.00
loop_
_atom_site_label
_atom_site_type_symbol
_atom_site_fract_x
_atom_site_fract_y
_atom_site_fract_z
_atom_site_occupancy
In1 In 0.0000 0.0000 0.1480 1
In2 In 0.3333 0.6667 0.1007 1
In3 In 0.3333 0.6667 0.3857 1
Si1 Si 0.0000 0.0000 0.3927 1
Si2 Si 0.3333 0.6667 0.6346 1
Si3 Si 0.3333 0.6667 0.8528 1
```

Uncorrected formation energy   0.347 eV per atom
Volume   21.42 Å³ per atom
DFT total energy   -44.8 eV/cell
Magnetic moment   0.000 μB/f.u.



3.
# InSi

Crystalline InSi at its relaxed geometry (PBE, the Alexandria database).

```
data_InSi
_symmetry_space_group_name_H-M 'I -4 3 m'
_symmetry_Int_Tables_number 217
_symmetry_space_group_name_Hall 'I -4 2 3'
_cell_length_a 8.3542
_cell_length_b 8.3542
_cell_length_c 8.3542
_cell_angle_alpha 90.00
_cell_angle_beta 90.00
_cell_angle_gamma 90.00
loop_
_atom_site_label
_atom_site_type_symbol
_atom_site_fract_x
_atom_site_fract_y
_atom_site_fract_z
_atom_site_occupancy
In1 In 0.1651 0.1651 0.8349 1
Si1 Si 0.1574 0.1574 0.1574 1
```

Uncorrected formation energy   0.642 eV per atom
Volume   36.44 Å³ per atom
DFT total energy   -55.0 eV/cell
Magnetic moment   0.000 μB/f.u.



4.
# In2Si

Crystalline In2Si at its relaxed geometry (PBE, the Alexandria database).

```
data_In2Si
_symmetry_space_group_name_H-M 'C m c m'
_symmetry_Int_Tables_number 63
_symmetry_space_group_name_Hall '-C 2c 2'
_cell_length_a 12.1945
_cell_length_b 4.6797
_cell_length_c 4.9530
_cell_angle_alpha 90.00
_cell_angle_beta 90.00
_cell_angle_gamma 90.00
loop_
_atom_site_label
_atom_site_type_symbol
_atom_site_fract_x
_atom_site_fract_y
_atom_site_fract_z
_atom_site_occupancy
In1 In 0.1534 0.1955 0.2500 1
Si1 Si 0.0000 0.3631 0.7500 1
```

Uncorrected formation energy   0.280 eV per atom
Volume   23.55 Å³ per atom
DFT total energy   -40.2 eV/cell
Offset from the most stable computed form   105 meV/atom
Magnetic moment   0.000 μB/f.u.



5.
# In2Si

Crystalline In2Si at its relaxed geometry (PBE, the Alexandria database).

```
data_In2Si
_symmetry_space_group_name_H-M 'I 41/a m d'
_symmetry_Int_Tables_number 141
_cell_length_a 3.4675
_cell_length_b 3.4675
_cell_length_c 24.0198
_cell_angle_alpha 90.00
_cell_angle_beta 90.00
_cell_angle_gamma 90.00
loop_
_symmetry_equiv_pos_as_xyz
'x,y,z'
'-x,-y,-z'
'-y+1/4,x+3/4,z+1/4'
'y+1/4,-x+3/4,-z+1/4'
'-x+1/2,-y,z+1/2'
'x+1/2,y,-z+1/2'
'y+1/4,-x+1/4,z+3/4'
'-y+1/4,x+1/4,-z+3/4'
'x,-y,-z'
'-x,y,z'
'-y+1/4,-x+1/4,-z+3/4'
'y+1/4,x+1/4,z+3/4'
'-x+1/2,y,-z+1/2'
'x+1/2,-y,z+1/2'
'y+1/4,x+3/4,-z+1/4'
'-y+1/4,-x+3/4,z+1/4'
'x+1/2,y+1/2,z+1/2'
'-x+1/2,-y+1/2,-z+1/2'
'-y+3/4,x+1/4,z+3/4'
'y+3/4,-x+1/4,-z+3/4'
'-x,-y+1/2,z'
'x,y+1/2,-z'
'y+3/4,-x+3/4,z+1/4'
'-y+3/4,x+3/4,-z+1/4'
'x+1/2,-y+1/2,-z+1/2'
'-x+1/2,y+1/2,z+1/2'
'-y+3/4,-x+3/4,-z+1/4'
'y+3/4,x+3/4,z+1/4'
'-x,y+1/2,-z'
'x,-y+1/2,z'
'y+3/4,x+1/4,-z+3/4'
'-y+3/4,-x+1/4,z+3/4'
loop_
_atom_site_label
_atom_site_type_symbol
_atom_site_fract_x
_atom_site_fract_y
_atom_site_fract_z
_atom_site_occupancy
In1 In 0.0000 0.2500 0.3047 1
Si1 Si 0.0000 0.2500 0.8750 1
```

Uncorrected formation energy   0.313 eV per atom
Volume   24.07 Å³ per atom
DFT total energy   -39.8 eV/cell
Offset from the most stable computed form   138 meV/atom
Magnetic moment   0.000 μB/f.u.



6.
# In7Si

Crystalline In7Si at its relaxed geometry (PBE, the Alexandria database).

```
data_In7Si
_symmetry_space_group_name_H-M 'F m -3 m'
_symmetry_Int_Tables_number 225
_symmetry_space_group_name_Hall '-F 4 2 3'
_cell_length_a 9.3774
_cell_length_b 9.3774
_cell_length_c 9.3774
_cell_angle_alpha 90.00
_cell_angle_beta 90.00
_cell_angle_gamma 90.00
loop_
_atom_site_label
_atom_site_type_symbol
_atom_site_fract_x
_atom_site_fract_y
_atom_site_fract_z
_atom_site_occupancy
In1 In 0.0000 0.0000 0.0000 1
In2 In 0.0000 0.2500 0.2500 1
Si1 Si 0.0000 0.0000 0.5000 1
```

Uncorrected formation energy   0.163 eV per atom
Volume   25.77 Å³ per atom
DFT total energy   -93.1 eV/cell
Magnetic moment   0.000 μB/f.u.



7.
# InSi

Crystalline InSi at its relaxed geometry (PBE, the Alexandria database).

```
data_InSi
_symmetry_space_group_name_H-M 'P m m n'
_symmetry_Int_Tables_number 59
_cell_length_a 3.8351
_cell_length_b 12.5775
_cell_length_c 6.4029
_cell_angle_alpha 90.00
_cell_angle_beta 90.00
_cell_angle_gamma 90.00
loop_
_symmetry_equiv_pos_as_xyz
'x,y,z'
'-x,-y,-z'
'-x+1/2,-y+1/2,z'
'x+1/2,y+1/2,-z'
'x+1/2,-y,-z'
'-x+1/2,y,z'
'-x,y+1/2,-z'
'x,-y+1/2,z'
loop_
_atom_site_label
_atom_site_type_symbol
_atom_site_fract_x
_atom_site_fract_y
_atom_site_fract_z
_atom_site_occupancy
In1 In 0.2500 0.0606 0.1350 1
In2 In 0.2500 0.7500 0.2984 1
Si1 Si 0.2500 0.2500 0.9861 1
Si2 Si 0.2500 0.5586 0.4983 1
```

Uncorrected formation energy   0.365 eV per atom
Volume   25.74 Å³ per atom
DFT total energy   -44.6 eV/cell
Magnetic moment   0.000 μB/f.u.



8.
# In2Si

Crystalline In2Si at its relaxed geometry (PBE, the Alexandria database).

```
data_In2Si
_symmetry_space_group_name_H-M 'P 4/m m m'
_symmetry_Int_Tables_number 123
_symmetry_space_group_name_Hall '-P 4 2'
_cell_length_a 4.4205
_cell_length_b 4.4205
_cell_length_c 3.8656
_cell_angle_alpha 90.00
_cell_angle_beta 90.00
_cell_angle_gamma 90.00
loop_
_atom_site_label
_atom_site_type_symbol
_atom_site_fract_x
_atom_site_fract_y
_atom_site_fract_z
_atom_site_occupancy
In1 In 0.0000 0.5000 0.0000 1
Si1 Si 0.0000 0.0000 0.5000 1
```

Uncorrected formation energy   0.345 eV per atom
Volume   25.18 Å³ per atom
DFT total energy   -9.9 eV/cell
Offset from the most stable computed form   171 meV/atom
Magnetic moment   0.000 μB/f.u.



9.
# In2Si

Crystalline In2Si at its relaxed geometry (PBE, the Alexandria database).

```
data_In2Si
_symmetry_space_group_name_H-M 'I 4/m m m'
_symmetry_Int_Tables_number 139
_symmetry_space_group_name_Hall '-I 4 2'
_cell_length_a 3.4024
_cell_length_b 3.4024
_cell_length_c 12.1100
_cell_angle_alpha 90.00
_cell_angle_beta 90.00
_cell_angle_gamma 90.00
loop_
_atom_site_label
_atom_site_type_symbol
_atom_site_fract_x
_atom_site_fract_y
_atom_site_fract_z
_atom_site_occupancy
In1 In 0.0000 0.0000 0.1489 1
Si1 Si 0.0000 0.0000 0.5000 1
```

Uncorrected formation energy   0.322 eV per atom
Volume   23.37 Å³ per atom
DFT total energy   -19.9 eV/cell
Offset from the most stable computed form   147 meV/atom
Magnetic moment   0.000 μB/f.u.



10.
# InSi

Crystalline InSi at its relaxed geometry (PBE, the Alexandria database).

```
data_InSi
_symmetry_space_group_name_H-M 'P 63/m'
_symmetry_Int_Tables_number 176
_symmetry_space_group_name_Hall '-P 6c'
_cell_length_a 11.1011
_cell_length_b 11.1011
_cell_length_c 3.6316
_cell_angle_alpha 90.00
_cell_angle_beta 90.00
_cell_angle_gamma 120.00
loop_
_atom_site_label
_atom_site_type_symbol
_atom_site_fract_x
_atom_site_fract_y
_atom_site_fract_z
_atom_site_occupancy
In1 In 0.2284 0.7559 0.2500 1
Si1 Si 0.0173 0.5776 0.7500 1
```

Uncorrected formation energy   0.370 eV per atom
Volume   32.30 Å³ per atom
DFT total energy   -44.5 eV/cell
Magnetic moment   0.000 μB/f.u.



Which of these has the lowest volume?
number 2